DFT (PBE) results for HoMgAgF6 after structural relaxation.

The structure belongs to space group P4_2nm (No. 102); the cell edges are 5.176, 5.176 and 10.157 Å and the angles 90.00°, 90.00° and 90.00°. Symmetry generates all atoms from Ho at (0.000, 0.000, 0.000), Mg at (0.000, 0.000, 0.661), Ag at (0.000, 0.000, 0.328), F at (0.172, 0.172, 0.821), F at (0.204, 0.204, 0.526) and F at (0.226, 0.226, 0.140).

As for the density of states at the Fermi level: 0.00 states/eV per atom. Its uncorrected formation energy is -28.854 eV per formula unit. Its electronic total energy is -5.456 eV per atom.